BaHfPd2 | PBE | optimized geometry

Calculated values
Energy above the lowest structure with this stoichiometry   459 meV per atom
Electronic total energy   -0.207 Ha/atom
Theoretical density   9.49 Mg/m³
Formation enthalpy at 0 K   -0.3 eV/f.u.
Space-group type   Fm-3m, No. 225
Total moment   0.0000 μB per atom
Density of states at the Fermi level   4.5 states/eV/cell

abc: 5.0764 5.0764 5.0764
angles: 60.00 60.00 60.00
Fractional coordinates of all 4 atoms:
Hf 0.5000 0.5000 0.5000
Ba 0.0000 0.0000 0.0000
Pd 0.2500 0.2500 0.2500
Pd 0.7500 0.7500 0.7500


BaHfPd3 | PBE | optimized geometry

Calculated values
Energy above the lowest structure with this stoichiometry   1450 meV per atom
Electronic total energy   -0.154 Ha/atom
Theoretical density   7.42 Mg/m³
Formation enthalpy at 0 K   6.5 eV/f.u.
Space-group type   Pm-3m, No. 221
Total moment   0.0002 μB per atom
Density of states at the Fermi level   7.2 states/eV/cell

abc: 5.2177 5.2177 5.2177
angles: 90.00 90.00 90.00
Fractional coordinates of all 5 atoms:
Hf 0.5000 0.5000 0.5000
Ba 0.0000 0.0000 0.0000
Pd 0.0000 0.5000 0.0000
Pd 0.0000 0.0000 0.5000
Pd 0.5000 0.0000 0.0000


BaHf2Pd2 | PBE | optimized geometry

Calculated values
Energy above the lowest structure with this stoichiometry   161 meV per atom
Electronic total energy   -0.244 Ha/atom
Theoretical density   10.66 Mg/m³
Formation enthalpy at 0 K   -0.9 eV/f.u.
Space-group type   P4/mbm, No. 127
Total moment   0.0000 μB per atom
Density of states at the Fermi level   10.1 states/eV/cell

abc: 8.4604 8.4604 3.0771
angles: 90.00 90.00 90.00
Fractional coordinates of all 10 atoms:
Hf 0.3692 0.8692 0.0000
Hf 0.8692 0.6308 0.0000
Hf 0.6308 0.1308 0.0000
Hf 0.1308 0.3692 0.0000
Ba 0.0000 0.0000 0.0000
Ba 0.5000 0.5000 0.0000
Pd 0.1577 0.6577 0.5000
Pd 0.6577 0.8423 0.5000
Pd 0.8423 0.3423 0.5000
Pd 0.3423 0.1577 0.5000